[1]
An optimized crystal structure of RbSi, computed with PBE.

Unit cell a=13.512 b=13.512 c=3.963 alpha=90.00 beta=90.00 gamma=90.00
Atoms (fractional coordinates):
1 Si 0.783 0.783 0.000
2 Si 0.283 0.717 0.500
3 Rb 0.500 0.269 0.000
4 Rb 0.000 0.769 0.500
5 Si 0.217 0.217 0.000
6 Rb 0.500 0.731 0.000
7 Rb 0.769 0.000 0.500
8 Si 0.283 0.283 0.500
9 Si 0.783 0.217 0.000
10 Rb 0.269 0.500 0.000
11 Si 0.717 0.717 0.500
12 Si 0.217 0.783 0.000
13 Rb 0.000 0.231 0.500
14 Rb 0.231 0.000 0.500
15 Si 0.717 0.283 0.500
16 Rb 0.731 0.500 0.000

ΔE_f (raw): 0.109 eV per atom
DOS(E_F): 0.688 states/eV/atom
Energy relative to the lowest polymorph listed for this composition: 158 meV per atom

[2]
An optimized crystal structure of SrPdRh2I, computed with PBE.

Unit cell a=4.863 b=5.989 c=4.863 alpha=90.00 beta=90.00 gamma=90.00
Atoms (fractional coordinates):
1 Sr 0.000 0.500 0.000
2 Rh 0.500 0.000 0.000
3 Rh 0.000 0.000 0.500
4 Pd 0.500 0.500 0.500
5 I 0.000 0.000 0.000

ΔE_f (raw): 0.685 eV per atom
DOS(E_F): 0.789 states/eV/atom

[3]
An optimized crystal structure of CdGaSb2Te, computed with PBE.

Unit cell a=5.501 b=5.501 c=5.805 alpha=90.00 beta=90.00 gamma=90.00
Atoms (fractional coordinates):
1 Sb 0.000 0.500 0.000
2 Te 0.000 0.000 0.500
3 Cd 0.000 0.000 0.000
4 Sb 0.500 0.000 0.000
5 Ga 0.500 0.500 0.500

ΔE_f (raw): 0.616 eV per atom
DOS(E_F): 0.888 states/eV/atom
Energy relative to the lowest polymorph listed for this composition: 122 meV per atom

[4]
An optimized crystal structure of Dy4CuGe8, computed with PBE.

Unit cell a=3.970 b=4.075 c=16.531 alpha=90.00 beta=90.00 gamma=90.00
Atoms (fractional coordinates):
1 Dy 0.000 0.000 0.097
2 Dy 0.500 0.500 0.398
3 Ge 0.000 0.500 0.941
4 Ge 0.000 0.500 0.237
5 Cu 0.000 0.000 0.323
6 Ge 0.500 0.000 0.236
7 Dy 0.500 0.000 0.892
8 Ge 0.500 0.500 0.754
9 Dy 0.000 0.500 0.609
10 Ge 0.500 0.000 0.562
11 Ge 0.000 0.000 0.747
12 Ge 0.000 0.000 0.466
13 Ge 0.500 0.500 0.041

DOS(E_F): 0.387 states/eV/atom
Energy relative to the elements: -7.75 eV per formula unit

[5]
An optimized crystal structure of VSBr3, computed with PBE.

Unit cell a=5.111 b=5.111 c=5.111 alpha=90.00 beta=90.00 gamma=90.00
Last column: magnetic moment on the atom in μB.
Atoms (fractional coordinates):
1 S 0.500 0.500 0.500  1.10
2 Br 0.500 0.000 0.000  0.05
3 Br 0.000 0.500 0.000  0.05
4 V 0.000 0.000 0.000  2.12
5 Br 0.000 0.000 0.500  0.05

ΔE_f (raw): 0.109 eV per atom
DOS(E_F): 1.743 states/eV/atom
Energy relative to the lowest polymorph listed for this composition: 795 meV per atom

[6]
An optimized crystal structure of Sr4ZnAg2, computed with PBE.

Unit cell a=5.546 b=5.546 c=9.601 alpha=73.21 beta=73.21 gamma=60.00
Atoms (fractional coordinates):
1 Ag 0.751 0.751 0.748
2 Sr 0.876 0.876 0.373
3 Ag 0.249 0.249 0.252
4 Sr 0.124 0.124 0.627
5 Sr 0.626 0.626 0.122
6 Sr 0.374 0.374 0.878
7 Zn 0.000 0.000 0.000

DOS(E_F): 1.016 states/eV/atom
Energy relative to the elements: -1.27 eV per formula unit